1.
A plane-wave DFT calculation with PBE-GGA was carried out for a geometry-optimized LaSiW2 structure.

abc: 4.493 4.493 6.276
angles: 101.56 101.56 44.13
Fractional positions:
La: 0.000 0.000 0.000
Si: 0.252 0.252 0.672
W: 0.518 0.518 0.519
W: 0.783 0.783 0.363

=====

2.
A plane-wave DFT calculation with PBE-GGA was carried out for a geometry-optimized LaSiW2 structure.

abc: 2.931 2.931 9.032
angles: 90.00 90.00 108.68
Fractional positions:
La: 0.000 0.000 0.000
Si: 0.000 0.000 0.500
W: 0.500 0.500 0.299
W: 0.500 0.500 0.701

=====

3.
A plane-wave DFT calculation with PBE-GGA was carried out for a geometry-optimized LaSiW2 structure.

abc: 3.261 3.261 7.346
angles: 90.00 90.00 90.00
Fractional positions:
La: 0.000 0.000 0.000
Si: 0.500 0.500 0.307
W: 0.000 0.000 0.495
W: 0.500 0.500 0.681

=====

4.
A plane-wave DFT calculation with PBE-GGA was carried out for a geometry-optimized LaSiW2 structure.

abc: 10.016 10.016 10.016
angles: 16.86 16.86 16.86
Fractional positions:
La: 0.000 0.000 0.000
Si: 0.500 0.500 0.500
W: 0.236 0.236 0.236
W: 0.764 0.764 0.764

=====

5.
A plane-wave DFT calculation with PBE-GGA was carried out for a geometry-optimized LaSiW structure.

abc: 4.852 4.852 4.852
angles: 60.00 60.00 60.00
Fractional positions:
La: 0.000 0.000 0.000
Si: 0.250 0.250 0.250
W: 0.750 0.750 0.750

=====

6.
A plane-wave DFT calculation with PBE-GGA was carried out for a geometry-optimized LaSiW2 structure.

abc: 3.349 4.188 6.272
angles: 90.00 105.10 90.00
Fractional positions:
La: 0.000 0.000 0.000
Si: 0.612 0.500 0.229
W: 0.263 0.500 0.540
W: 0.737 0.000 0.488

=====

7.
A plane-wave DFT calculation with PBE-GGA was carried out for a geometry-optimized La2SiW structure.

abc: 3.199 4.194 7.288
angles: 90.00 90.00 90.00
Fractional positions:
La: 0.000 0.000 0.244
La: 0.000 0.000 0.756
Si: 0.500 0.500 0.000
W: 0.500 0.500 0.500

=====

8.
A plane-wave DFT calculation with PBE-GGA was carried out for a geometry-optimized LaSiW2 structure.

abc: 6.138 6.138 6.138
angles: 101.68 101.68 126.52
Fractional positions:
La: 0.000 0.000 0.000
La: 0.750 0.250 0.500
Si: 0.250 0.750 0.500
Si: 0.500 0.500 0.000
W: 0.199 0.125 0.574
W: 0.375 0.801 0.926
W: 0.551 0.625 0.426
W: 0.875 0.449 0.074

=====

9.
A plane-wave DFT calculation with PBE-GGA was carried out for a geometry-optimized LaSi2W structure.

abc: 3.278 3.278 6.913
angles: 90.00 90.00 90.00
Fractional positions:
La: 0.000 0.000 0.000
Si: 0.500 0.500 0.316
Si: 0.500 0.500 0.684
W: 0.000 0.000 0.500

=====

10.
A plane-wave DFT calculation with PBE-GGA was carried out for a geometry-optimized La2SiW structure.

abc: 5.392 3.115 6.031
angles: 90.00 90.22 90.00
Fractional positions:
La: 0.000 0.000 0.000
La: 0.500 0.500 0.500
Si: 0.000 0.000 0.500
W: 0.500 0.500 0.000

=====

11.
A plane-wave DFT calculation with PBE-GGA was carried out for a geometry-optimized La2SiW structure.

abc: 6.563 6.563 6.563
angles: 101.09 101.09 127.97
Fractional positions:
La: 0.082 0.625 0.957
La: 0.375 0.332 0.457
La: 0.668 0.125 0.043
La: 0.875 0.918 0.543
Si: 0.250 0.750 0.500
Si: 0.500 0.500 0.000
W: 0.000 0.000 0.000
W: 0.750 0.250 0.500

=====

12.
A plane-wave DFT calculation with PBE-GGA was carried out for a geometry-optimized LaSi2W structure.

abc: 3.514 3.643 6.468
angles: 90.00 105.66 90.00
Fractional positions:
La: 0.000 0.000 0.000
Si: 0.626 0.500 0.253
Si: 0.745 0.000 0.494
W: 0.280 0.500 0.565

=====

13.
A plane-wave DFT calculation with PBE-GGA was carried out for a geometry-optimized La2SiW structure.

abc: 3.789 3.789 9.346
angles: 94.90 94.90 48.26
Fractional positions:
La: 0.241 0.241 0.248
La: 0.759 0.759 0.752
Si: 0.500 0.500 0.000
W: 0.000 0.000 0.500

=====

14.
A plane-wave DFT calculation with PBE-GGA was carried out for a geometry-optimized LaSi3W structure.

Properties
ΔE to the lowest computed polymorph ... 2507 meV/atom

abc: 5.063 5.063 5.063
angles: 90.00 90.00 90.00
Fractional positions:
La: 0.000 0.000 0.000
Si: 0.000 0.000 0.500
Si: 0.000 0.500 0.000
Si: 0.500 0.000 0.000
W: 0.500 0.500 0.500

=====

15.
A plane-wave DFT calculation with PBE-GGA was carried out for a geometry-optimized LaSiW structure.

abc: 3.975 3.975 8.285
angles: 90.00 90.00 90.00
Fractional positions:
La: 0.250 0.250 0.152
La: 0.750 0.750 0.848
Si: 0.250 0.250 0.706
Si: 0.750 0.750 0.294
W: 0.250 0.750 0.500
W: 0.750 0.250 0.500

=====

Energy relative to the elements, uncorrected list, top to bottom, in eV per atom: 0.2286, 0.4665, 0.0582, 0.6615, 1.5525, 0.1484, 0.3303, 0.7137, -0.2197, 0.5548, 0.6447, -0.0781, 0.5277, 2.4587, -0.3556
Electronic total energy list, top to bottom, in eV for the cell shown: -35.34, -34.39, -36.02, -33.61, -18.65, -35.66, -26.91, -66.80, -29.61, -26.01, -51.30, -29.04, -26.12, -21.86, -48.74